Compound: YMgOs2
Source: Alexandria via LeMat-Bulk
Functional: SCAN
Structure: single point on PBEsol structure

For the mass density, the calculation gives 12.00 g/cm3. For the volume, the calculation gives 17.081 Å³/atom. The value obtained for the density of states at the Fermi level is 4.96 states/eV per cell. The calculation puts the formation energy at 0.243 eV per atom. As for the final energy: -175.60 eV/cell.

Cell: 4.0910 4.0910 4.0823 Å, 90.00 90.00 90.00°
Closest atoms and distances in Å follow each position.
Space group P4/mmm (No. 123)
Symmetry-distinct sites (fractional):
Y  0.0000  0.0000  0.0000 x1  8 Os 2.89, 4 Mg 2.89
Mg  0.5000  0.5000  0.0000 x1  8 Os 2.89, 4 Y 2.89
Os  0.0000  0.5000  0.5000 x2  4 Mg 2.89, 4 Y 2.89, 4 Os 2.89